VASP calculation (PBE-GGA) on a relaxed K6Rb2Au3O crystal.

Geometry as CIF:
```
data_K6Rb2Au3O
_cell_length_a 16.8644
_cell_length_b 8.7590
_cell_length_c 7.4635
_cell_angle_alpha 90.00
_cell_angle_beta 91.46
_cell_angle_gamma 90.00
_symmetry_space_group_name_H-M 'C 1 2/m 1'
_symmetry_Int_Tables_number 12
_symmetry_space_group_name_Hall '-C 2y'
loop_
_atom_site_label
_atom_site_fract_x
_atom_site_fract_y
_atom_site_fract_z
K1 0.0649 0.2173 0.2944
K2 0.1308 0.0000 0.6995
Rb1 0.1895 0.5000 0.8338
Au1 0.0000 0.5000 0.0000
Au2 0.2500 0.2500 0.5000
O1 0.0000 0.0000 0.5000
```

VASP energy = -2.335 eV/atom
ρ = 3.05 g/cm³
Uncorrected formation energy = -0.39 eV/atom



VASP calculation (PBE-GGA) on a relaxed K4Rb3Au3O2 crystal.

Geometry as CIF:
```
data_K4Rb3Au3O2
_cell_length_a 5.3161
_cell_length_b 5.5804
_cell_length_c 28.1228
_cell_angle_alpha 90.00
_cell_angle_beta 90.00
_cell_angle_gamma 90.00
_symmetry_space_group_name_H-M 'I m m m'
_symmetry_Int_Tables_number 71
_symmetry_space_group_name_Hall '-I 2 2'
loop_
_atom_site_label
_atom_site_fract_x
_atom_site_fract_y
_atom_site_fract_z
K1 0.0000 0.0000 0.1008
K2 0.0000 0.5000 0.3071
Rb1 0.0000 0.0000 0.4024
Rb2 0.0000 0.5000 0.5000
Au1 0.0000 0.5000 0.0000
Au2 0.0000 0.5000 0.1856
O1 0.0000 0.5000 0.3984
```

VASP energy = -2.900 eV/atom
ρ = 4.12 g/cm³
Uncorrected formation energy = -0.65 eV/atom